Material: Ca4Sm
Method: DFT, PBE-GGA
State: relaxed Values from VASP.

Its space group is No. 12. Its energy above the most stable polymorph in this dataset is 0.0 meV/atom.

Cell and atoms, written as Quantum ESPRESSO input:
```
&SYSTEM
  ibrav = 0, nat = 10, ntyp = 2
/
ATOMIC_SPECIES
Ca 40.08 Ca.upf
Sm 150.36 Sm.upf
ATOMIC_POSITIONS angstrom
Ca 1.699 0.000 1.137
Ca 1.702 0.000 4.696
Ca 3.409 2.958 2.699
Ca 3.413 2.958 6.258
Ca 6.828 2.958 1.137
Ca 6.832 2.958 4.696
Ca 8.539 0.000 2.699
Ca 8.542 0.000 6.258
Sm -0.009 2.958 3.698
Sm 5.120 0.000 3.698
CELL_PARAMETERS angstrom
10.259 0.000 0.000
0.000 5.915 0.000
-0.018 0.000 7.395
```

=====

Material: Ca5Sm
Method: DFT, PBE-GGA
State: relaxed Values from VASP.

Its space group is No. 65.

Cell and atoms, written as Quantum ESPRESSO input:
```
&SYSTEM
  ibrav = 0, nat = 12, ntyp = 2
/
ATOMIC_SPECIES
Ca 40.08 Ca.upf
Sm 150.36 Sm.upf
ATOMIC_POSITIONS angstrom
Ca 0.000 0.000 0.000
Ca 0.000 3.051 2.096
Ca 0.000 6.234 0.000
Ca 0.000 12.209 0.000
Ca 0.000 15.392 2.096
Ca 3.066 2.987 0.000
Ca 3.066 6.170 2.096
Ca 3.066 9.221 0.000
Ca 3.066 12.272 2.096
Ca 3.066 15.455 0.000
Sm 0.000 9.221 2.096
Sm 3.066 0.000 2.096
CELL_PARAMETERS angstrom
6.131 0.000 0.000
0.000 18.442 0.000
0.000 0.000 4.193
```

=====

Material: CaSm7
Method: DFT, PBE-GGA
State: relaxed Values from VASP.

Its space group is No. 225.

Cell and atoms, written as Quantum ESPRESSO input:
```
&SYSTEM
  ibrav = 0, nat = 8, ntyp = 2
/
ATOMIC_SPECIES
Ca 40.08 Ca.upf
Sm 150.36 Sm.upf
ATOMIC_POSITIONS angstrom
Ca 0.000 0.000 0.000
Sm 2.576 2.576 0.000
Sm 2.576 0.000 2.576
Sm 5.153 2.576 2.576
Sm 0.000 2.576 2.576
Sm 2.576 5.153 2.576
Sm 2.576 2.576 5.153
Sm 5.153 5.153 5.153
CELL_PARAMETERS angstrom
0.000 5.153 5.153
5.153 0.000 5.153
5.153 5.153 0.000
```

=====

Material: CaSm
Method: DFT, PBE-GGA
State: relaxed Values from VASP.

Its space group is No. 129. Its energy above the most stable polymorph in this dataset is 0.0 meV/atom.

Cell and atoms, written as Quantum ESPRESSO input:
```
&SYSTEM
  ibrav = 0, nat = 4, ntyp = 2
/
ATOMIC_SPECIES
Ca 40.08 Ca.upf
Sm 150.36 Sm.upf
ATOMIC_POSITIONS angstrom
Ca 0.934 0.934 1.457
Ca 2.803 2.803 9.222
Sm 0.934 0.934 6.507
Sm 2.803 2.803 4.172
CELL_PARAMETERS angstrom
3.738 0.000 0.000
0.000 3.738 0.000
0.000 0.000 10.679
```

=====

Material: CaSm
Method: DFT, PBE-GGA
State: relaxed Values from VASP.

Its space group is No. 59. Its energy above the most stable polymorph in this dataset is 60.0 meV/atom.

Cell and atoms, written as Quantum ESPRESSO input:
```
&SYSTEM
  ibrav = 0, nat = 4, ntyp = 2
/
ATOMIC_SPECIES
Ca 40.08 Ca.upf
Sm 150.36 Sm.upf
ATOMIC_POSITIONS angstrom
Ca 0.915 1.338 1.000
Ca 2.745 4.013 6.555
Sm 0.915 1.338 4.595
Sm 2.745 4.013 2.960
CELL_PARAMETERS angstrom
3.660 0.000 0.000
0.000 5.351 0.000
0.000 0.000 7.555
```

=====

Material: CaSm2Sn
Method: DFT, PBE-GGA
State: relaxed Values from VASP.

Its space group is No. 123. Its energy above the most stable polymorph in this dataset is 0.0 meV/atom.

Cell and atoms, written as Quantum ESPRESSO input:
```
&SYSTEM
  ibrav = 0, nat = 4, ntyp = 3
/
ATOMIC_SPECIES
Ca 40.08 Ca.upf
Sm 150.36 Sm.upf
Sn 118.71 Sn.upf
ATOMIC_POSITIONS angstrom
Ca 0.000 0.000 0.000
Sm 0.000 2.485 2.432
Sm 2.485 0.000 2.432
Sn 2.485 2.485 0.000
CELL_PARAMETERS angstrom
4.969 0.000 0.000
0.000 4.969 0.000
0.000 0.000 4.864
```

=====

Material: CaSm2Sn
Method: DFT, PBE-GGA
State: relaxed Values from VASP.

Its space group is No. 166. Its energy above the most stable polymorph in this dataset is 504.7 meV/atom.

Cell and atoms, written as Quantum ESPRESSO input:
```
&SYSTEM
  ibrav = 0, nat = 12, ntyp = 3
/
ATOMIC_SPECIES
Ca 40.08 Ca.upf
Sm 150.36 Sm.upf
Sn 118.71 Sn.upf
ATOMIC_POSITIONS angstrom
Ca 0.000 0.000 0.000
Ca 0.000 2.076 24.896
Ca 1.798 1.038 12.448
Sm 0.000 0.000 15.531
Sm 0.000 0.000 21.813
Sm 0.000 2.076 3.083
Sm 0.000 2.076 9.365
Sm 1.798 1.038 27.979
Sm 1.798 1.038 34.260
Sn 0.000 0.000 18.672
Sn 0.000 2.076 6.224
Sn 1.798 1.038 31.120
CELL_PARAMETERS angstrom
3.596 0.000 0.000
-1.798 3.114 0.000
0.000 0.000 37.344
```

=====

Material: Ca3SmSn12
Method: DFT, PBE-GGA
State: relaxed Values from VASP.

Its space group is No. 123.

Cell and atoms, written as Quantum ESPRESSO input:
```
&SYSTEM
  ibrav = 0, nat = 16, ntyp = 3
/
ATOMIC_SPECIES
Ca 40.08 Ca.upf
Sm 150.36 Sm.upf
Sn 118.71 Sn.upf
ATOMIC_POSITIONS angstrom
Ca 0.000 0.000 0.000
Ca 0.000 0.000 4.803
Ca 0.000 0.000 14.364
Sm 0.000 0.000 9.584
Sn 0.000 2.370 2.385
Sn 0.000 2.370 7.177
Sn 0.000 2.370 11.990
Sn 0.000 2.370 16.782
Sn 2.370 0.000 2.385
Sn 2.370 0.000 7.177
Sn 2.370 0.000 11.990
Sn 2.370 0.000 16.782
Sn 2.370 2.370 0.000
Sn 2.370 2.370 4.780
Sn 2.370 2.370 9.584
Sn 2.370 2.370 14.387
CELL_PARAMETERS angstrom
4.739 0.000 0.000
0.000 4.739 0.000
0.000 0.000 19.167
```

=====

Material: Ca2Sm2Sn7
Method: DFT, PBE-GGA
State: relaxed Values from VASP.

Its space group is No. 65.

Cell and atoms, written as Quantum ESPRESSO input:
```
&SYSTEM
  ibrav = 0, nat = 11, ntyp = 3
/
ATOMIC_SPECIES
Ca 40.08 Ca.upf
Sm 150.36 Sm.upf
Sn 118.71 Sn.upf
ATOMIC_POSITIONS angstrom
Ca 1.675 0.000 0.000
Ca 7.506 0.000 0.000
Sm 4.591 2.306 3.599
Sm 4.591 -2.306 3.599
Sn 0.000 0.000 3.599
Sn 2.295 2.720 1.472
Sn 2.295 2.720 5.725
Sn 2.295 -2.720 1.472
Sn 2.295 -2.720 5.725
Sn 4.591 0.000 1.422
Sn 4.591 0.000 5.775
CELL_PARAMETERS angstrom
4.591 -5.440 0.000
4.591 5.440 0.000
0.000 0.000 7.197
```

=====

Material: CaSm2Sn
Method: DFT, PBE-GGA
State: relaxed Values from VASP.

Its space group is No. 225. Its energy above the most stable polymorph in this dataset is 117.4 meV/atom.

Cell and atoms, written as Quantum ESPRESSO input:
```
&SYSTEM
  ibrav = 0, nat = 16, ntyp = 3
/
ATOMIC_SPECIES
Ca 40.08 Ca.upf
Sm 150.36 Sm.upf
Sn 118.71 Sn.upf
ATOMIC_POSITIONS angstrom
Ca 0.000 0.000 0.000
Ca 0.000 3.904 3.904
Ca 3.904 0.000 3.904
Ca 3.904 3.904 0.000
Sm 1.952 1.952 1.952
Sm 1.952 1.952 5.856
Sm 1.952 5.856 1.952
Sm 1.952 5.856 5.856
Sm 5.856 1.952 1.952
Sm 5.856 1.952 5.856
Sm 5.856 5.856 1.952
Sm 5.856 5.856 5.856
Sn 0.000 0.000 3.904
Sn 0.000 3.904 0.000
Sn 3.904 0.000 0.000
Sn 3.904 3.904 3.904
CELL_PARAMETERS angstrom
7.808 0.000 0.000
0.000 7.808 0.000
0.000 0.000 7.808
```

=====

Material: CaSmSn4
Method: DFT, PBE-GGA
State: relaxed Values from VASP.

Its space group is No. 63. Its energy above the most stable polymorph in this dataset is 0.0 meV/atom.

Cell and atoms, written as Quantum ESPRESSO input:
```
&SYSTEM
  ibrav = 0, nat = 12, ntyp = 3
/
ATOMIC_SPECIES
Ca 40.08 Ca.upf
Sm 150.36 Sm.upf
Sn 118.71 Sn.upf
ATOMIC_POSITIONS angstrom
Ca 2.388 6.164 4.882
Ca 2.388 -6.164 1.627
Sm 2.388 9.656 1.627
Sm 2.388 -9.656 4.882
Sn 2.388 9.368 4.882
Sn 2.388 3.339 3.283
Sn 2.388 3.339 6.480
Sn 2.388 0.000 0.000
Sn 2.388 0.000 3.254
Sn 2.388 -3.339 0.029
Sn 2.388 -3.339 3.225
Sn 2.388 -9.368 1.627
CELL_PARAMETERS angstrom
2.388 -11.168 0.000
2.388 11.168 0.000
0.000 0.000 6.509
```

=====

Material: CaSmSn
Method: DFT, PBE-GGA
State: relaxed Values from VASP.

Its space group is No. 107.

Cell and atoms, written as Quantum ESPRESSO input:
```
&SYSTEM
  ibrav = 0, nat = 6, ntyp = 3
/
ATOMIC_SPECIES
Ca 40.08 Ca.upf
Sm 150.36 Sm.upf
Sn 118.71 Sn.upf
ATOMIC_POSITIONS angstrom
Ca 0.000 0.000 0.000
Ca 2.119 2.119 4.941
Sm 0.000 0.000 3.182
Sm 2.119 2.119 8.124
Sn 0.000 0.000 6.550
Sn 2.119 2.119 1.608
CELL_PARAMETERS angstrom
4.239 0.000 0.000
0.000 4.239 0.000
0.000 0.000 9.882
```

=====

Material: CaSm4Sn4
Method: DFT, PBE-GGA
State: relaxed Values from VASP.

Its space group is No. 86.

Cell and atoms, written as Quantum ESPRESSO input:
```
&SYSTEM
  ibrav = 0, nat = 18, ntyp = 3
/
ATOMIC_SPECIES
Ca 40.08 Ca.upf
Sm 150.36 Sm.upf
Sn 118.71 Sn.upf
ATOMIC_POSITIONS angstrom
Ca 2.509 2.509 1.570
Ca 7.528 7.528 4.711
Sm 0.957 6.487 0.840
Sm 1.469 9.080 3.981
Sm 3.550 5.976 3.981
Sm 4.062 8.568 0.840
Sm 5.976 1.469 5.442
Sm 6.487 4.062 2.301
Sm 8.568 0.957 2.301
Sm 9.080 3.550 5.442
Sn 0.341 6.145 4.027
Sn 1.126 9.697 0.886
Sn 3.893 5.359 0.886
Sn 4.678 8.911 4.027
Sn 5.359 1.126 2.255
Sn 6.145 4.678 5.395
Sn 8.911 0.341 5.395
Sn 9.697 3.893 2.255
CELL_PARAMETERS angstrom
10.037 0.000 0.000
0.000 10.037 0.000
0.000 0.000 6.282
```

=====

Material: CaSmSn
Method: DFT, PBE-GGA
State: relaxed Values from VASP.

Its space group is No. 129.

Cell and atoms, written as Quantum ESPRESSO input:
```
&SYSTEM
  ibrav = 0, nat = 6, ntyp = 3
/
ATOMIC_SPECIES
Ca 40.08 Ca.upf
Sm 150.36 Sm.upf
Sn 118.71 Sn.upf
ATOMIC_POSITIONS angstrom
Ca 1.011 1.011 1.465
Ca 3.032 3.032 10.405
Sm 1.011 1.011 4.899
Sm 3.032 3.032 6.971
Sn 1.011 1.011 8.514
Sn 3.032 3.032 3.357
CELL_PARAMETERS angstrom
4.043 0.000 0.000
0.000 4.043 0.000
0.000 0.000 11.870
```

=====

Material: CaSm3Sn2
Method: DFT, PBE-GGA
State: relaxed Values from VASP.

Its space group is No. 12.

Cell and atoms, written as Quantum ESPRESSO input:
```
&SYSTEM
  ibrav = 0, nat = 12, ntyp = 3
/
ATOMIC_SPECIES
Ca 40.08 Ca.upf
Sm 150.36 Sm.upf
Sn 118.71 Sn.upf
ATOMIC_POSITIONS angstrom
Ca 1.550 0.000 1.090
Ca 12.661 0.000 7.759
Sm -1.866 0.000 6.061
Sm 5.139 0.000 0.997
Sm 4.308 0.000 4.598
Sm 9.903 0.000 4.252
Sm 9.073 0.000 7.853
Sm 16.078 0.000 2.789
Sn 1.501 0.000 6.326
Sn 8.413 0.000 1.322
Sn 5.799 0.000 7.527
Sn 12.711 0.000 2.523
CELL_PARAMETERS angstrom
9.135 -2.348 0.000
9.135 2.348 0.000
-4.058 0.000 8.849
```

=====

Material: CaSmSn
Method: DFT, PBE-GGA
State: relaxed Values from VASP.

Its space group is No. 216.

Cell and atoms, written as Quantum ESPRESSO input:
```
&SYSTEM
  ibrav = 0, nat = 12, ntyp = 3
/
ATOMIC_SPECIES
Ca 40.08 Ca.upf
Sm 150.36 Sm.upf
Sn 118.71 Sn.upf
ATOMIC_POSITIONS angstrom
Ca 0.000 0.000 0.000
Ca 0.000 3.727 3.727
Ca 3.727 0.000 3.727
Ca 3.727 3.727 0.000
Sm 0.000 0.000 3.727
Sm 0.000 3.727 0.000
Sm 3.727 0.000 0.000
Sm 3.727 3.727 3.727
Sn 1.864 1.864 5.591
Sn 1.864 5.591 1.864
Sn 5.591 1.864 1.864
Sn 5.591 5.591 5.591
CELL_PARAMETERS angstrom
7.455 0.000 0.000
0.000 7.455 0.000
0.000 0.000 7.455
```

=====

Material: CaSm8Sn6
Method: DFT, PBE-GGA
State: relaxed Values from VASP.

Its space group is No. 148.

Cell and atoms, written as Quantum ESPRESSO input:
```
&SYSTEM
  ibrav = 0, nat = 15, ntyp = 3
/
ATOMIC_SPECIES
Ca 40.08 Ca.upf
Sm 150.36 Sm.upf
Sn 118.71 Sn.upf
ATOMIC_POSITIONS angstrom
Ca 0.000 0.000 0.000
Sm -3.122 0.040 8.477
Sm -1.596 -2.683 11.023
Sm 0.000 0.000 6.500
Sm 1.526 -2.724 8.477
Sm -1.526 2.724 11.023
Sm 0.000 0.000 13.000
Sm 1.596 2.683 8.477
Sm 3.122 -0.040 11.023
Sn -1.575 -2.663 7.857
Sn -3.094 0.032 11.643
Sn -1.519 2.695 7.857
Sn 1.519 -2.695 11.643
Sn 3.094 -0.032 7.857
Sn 1.575 2.663 11.643
CELL_PARAMETERS angstrom
4.659 2.690 6.500
-4.659 2.690 6.500
0.000 -5.379 6.500
```

=====

Material: CaSm4Sn15
Method: DFT, PBE-GGA
State: relaxed Values from VASP.

Its space group is No. 123.

Cell and atoms, written as Quantum ESPRESSO input:
```
&SYSTEM
  ibrav = 0, nat = 20, ntyp = 3
/
ATOMIC_SPECIES
Ca 40.08 Ca.upf
Sm 150.36 Sm.upf
Sn 118.71 Sn.upf
ATOMIC_POSITIONS angstrom
Ca 0.000 0.000 0.000
Sm 0.000 0.000 4.869
Sm 0.000 0.000 9.674
Sm 0.000 0.000 14.499
Sm 0.000 0.000 19.304
Sn 0.000 2.356 2.414
Sn 0.000 2.356 7.259
Sn 0.000 2.356 12.087
Sn 0.000 2.356 16.914
Sn 0.000 2.356 21.759
Sn 2.356 0.000 2.414
Sn 2.356 0.000 7.259
Sn 2.356 0.000 12.087
Sn 2.356 0.000 16.914
Sn 2.356 0.000 21.759
Sn 2.356 2.356 0.000
Sn 2.356 2.356 4.820
Sn 2.356 2.356 9.681
Sn 2.356 2.356 14.493
Sn 2.356 2.356 19.354
CELL_PARAMETERS angstrom
4.711 0.000 0.000
0.000 4.711 0.000
0.000 0.000 24.174
```

=====

Material: CaSmSn
Method: DFT, PBE-GGA
State: relaxed Values from VASP.

Its space group is No. 156.

Cell and atoms, written as Quantum ESPRESSO input:
```
&SYSTEM
  ibrav = 0, nat = 3, ntyp = 3
/
ATOMIC_SPECIES
Ca 40.08 Ca.upf
Sm 150.36 Sm.upf
Sn 118.71 Sn.upf
ATOMIC_POSITIONS angstrom
Ca 0.000 0.000 0.000
Sm 0.000 3.047 2.106
Sn 2.639 1.524 0.935
CELL_PARAMETERS angstrom
5.278 0.000 0.000
-2.639 4.571 0.000
0.000 0.000 3.794
```

=====

Material: CaSmSn4
Method: DFT, PBE-GGA
State: relaxed Values from VASP.

Its space group is No. 216. Its energy above the most stable polymorph in this dataset is 147.7 meV/atom.

Cell and atoms, written as Quantum ESPRESSO input:
```
&SYSTEM
  ibrav = 0, nat = 6, ntyp = 3
/
ATOMIC_SPECIES
Ca 40.08 Ca.upf
Sm 150.36 Sm.upf
Sn 118.71 Sn.upf
ATOMIC_POSITIONS angstrom
Ca 0.000 0.000 0.000
Sm 6.614 6.614 6.614
Sn 3.308 3.308 3.308
Sn 5.511 5.511 3.308
Sn 5.511 3.308 5.511
Sn 3.308 5.511 5.511
CELL_PARAMETERS angstrom
0.000 4.410 4.410
4.410 0.000 4.410
4.410 4.410 0.000
```

=====

no.,DFT total energy (eV/f.u.),ΔH_f (0 K) (eV/atom)
1,-11.12,0.3204
2,-14.28,0.0738
3,-34.68,0.0443
4,-6.66,0.0326
5,-6.54,0.0925
6,-17.00,-0.3903
7,-14.99,0.1144
8,-65.28,-0.4076
9,-43.57,-0.1913
10,-16.53,-0.2729
11,-25.65,-0.4858
12,-11.76,-0.3455
13,-41.31,-0.4917
14,-11.98,-0.4198
15,-26.97,-0.4678
16,-12.16,-0.4779
17,-72.43,-0.5769
18,-90.06,-0.4571
19,-11.85,-0.3742
20,-24.76,-0.3382